[1]
# GGA-PBE Rb3Ce3SbS8, relaxed
# * V: 31.1 Å³ per atom
# * formation energy from raw total energies: -1.519 eV per atom
# * E: -241.9 eV for the cell shown
data_Rb3Ce3SbS8
_cell_length_a 8.3365
_cell_length_b 8.3365
_cell_length_c 23.2307
_cell_angle_alpha 90.00
_cell_angle_beta 90.00
_cell_angle_gamma 120.00
_symmetry_space_group_name_H-M 'R -3 m'
_symmetry_Int_Tables_number 166
_symmetry_space_group_name_Hall '-R 3 2"'
loop_
_atom_site_label
_atom_site_type_symbol
_atom_site_fract_x
_atom_site_fract_y
_atom_site_fract_z
Rb1 Rb 0.0000 0.5000 0.0000
Ce1 Ce 0.0000 0.5000 0.5000
Sb1 Sb 0.0000 0.0000 0.5000
S1 S 0.0000 0.0000 0.2314
S2 S 0.0037 0.5018 0.2289


[2]
# GGA-PBE Zr3SnH3, relaxed
# * polymorph energy (0 for the lowest one): 0.196 eV per atom
# * V: 15.3 Å³ per atom
# * E: -252.0 eV for the cell shown
data_Zr3SnH3
_cell_length_a 5.6921
_cell_length_b 5.6921
_cell_length_c 22.8309
_cell_angle_alpha 90.00
_cell_angle_beta 90.00
_cell_angle_gamma 120.00
_symmetry_space_group_name_H-M 'R -3'
_symmetry_Int_Tables_number 148
_symmetry_space_group_name_Hall '-R 3'
loop_
_atom_site_label
_atom_site_type_symbol
_atom_site_fract_x
_atom_site_fract_y
_atom_site_fract_z
Zr1 Zr 0.0019 0.6648 0.0645
Sn1 Sn 0.0000 0.0000 0.1664
H1 H 0.9997 0.3308 0.0274


[3]
# GGA-PBE CuHgSe2, relaxed
# * V: 20.8 Å³ per atom
# * formation energy from raw total energies: 0.319 eV per atom
# * E: -20.2 eV for the cell shown
data_CuHgSe2
_cell_length_a 5.4079
_cell_length_b 7.8691
_cell_length_c 3.9084
_cell_angle_alpha 90.00
_cell_angle_beta 90.00
_cell_angle_gamma 90.00
_symmetry_space_group_name_H-M 'C m m m'
_symmetry_Int_Tables_number 65
_symmetry_space_group_name_Hall '-C 2 2'
loop_
_atom_site_label
_atom_site_type_symbol
_atom_site_fract_x
_atom_site_fract_y
_atom_site_fract_z
Cu1 Cu 0.0000 0.0000 0.0000
Hg1 Hg 0.0000 0.5000 0.0000
Se1 Se 0.2500 0.2500 0.5000


[4]
# GGA-PBE ErPb2Au, relaxed
# * ΔH_f (0 K): 0.07 eV per atom
# * polymorph energy (0 for the lowest one): 0.421 eV per atom
# * V: 28.8 Å³ per atom
# * E: -45.0 eV for the cell shown
data_ErPb2Au
_cell_length_a 3.5381
_cell_length_b 3.5381
_cell_length_c 31.9194
_cell_angle_alpha 90.00
_cell_angle_beta 90.00
_cell_angle_gamma 120.00
_symmetry_space_group_name_H-M 'R -3 m'
_symmetry_Int_Tables_number 166
_symmetry_space_group_name_Hall '-R 3 2"'
loop_
_atom_site_label
_atom_site_type_symbol
_atom_site_fract_x
_atom_site_fract_y
_atom_site_fract_z
Er1 Er 0.0000 0.0000 0.0000
Pb1 Pb 0.0000 0.0000 0.0981
Au1 Au 0.0000 0.0000 0.5000